(1)
Compound: Tm3Ga2Ir2
Source: Alexandria via LeMat-Bulk
Functional: PBE
Structure: optimized geometry

a = 5.521 Å, b = 7.646 Å, c = 13.660 Å
α = 90.00°, β = 90.00°, γ = 90.00°
Element x y z (fractional)
Ga (0.645, 0.750, 0.500)
Ga (0.355, 0.250, 0.500)
Ga (0.111, 0.608, 0.750)
Ga (0.889, 0.392, 0.250)
Ga (0.645, 0.750, 0.000)
Ga (0.111, 0.892, 0.250)
Ga (0.889, 0.108, 0.750)
Ga (0.355, 0.250, 0.000)
Tm (0.848, 0.100, 0.097)
Tm (0.848, 0.400, 0.597)
Tm (0.617, 0.765, 0.750)
Tm (0.152, 0.900, 0.903)
Tm (0.152, 0.600, 0.403)
Tm (0.383, 0.265, 0.750)
Tm (0.383, 0.235, 0.250)
Tm (0.848, 0.100, 0.403)
Tm (0.152, 0.900, 0.597)
Tm (0.848, 0.400, 0.903)
Tm (0.617, 0.735, 0.250)
Tm (0.152, 0.600, 0.097)
Ir (0.648, 0.460, 0.405)
Ir (0.352, 0.960, 0.405)
Ir (0.648, 0.040, 0.905)
Ir (0.352, 0.540, 0.905)
Ir (0.352, 0.960, 0.095)
Ir (0.648, 0.460, 0.095)
Ir (0.648, 0.040, 0.595)
Ir (0.352, 0.540, 0.595)

=====

(2)
Compound: Tm2Ga2Ir
Source: Alexandria via LeMat-Bulk
Functional: PBE
Structure: optimized geometry

a = 4.066 Å, b = 5.688 Å, c = 9.832 Å
α = 81.29°, β = 78.07°, γ = 69.06°
Element x y z (fractional)
Tm (0.690, 0.742, 0.878)
Tm (0.310, 0.258, 0.122)
Tm (0.495, 0.682, 0.328)
Tm (0.505, 0.318, 0.672)
Ir (0.785, 0.100, 0.330)
Ir (0.215, 0.900, 0.670)
Ga (0.148, 0.255, 0.450)
Ga (0.029, 0.833, 0.108)
Ga (0.852, 0.745, 0.550)
Ga (0.971, 0.167, 0.892)

=====

(3)
Compound: TmGa9Ir2
Source: Alexandria via LeMat-Bulk
Functional: PBE
Structure: optimized geometry

a = 6.603 Å, b = 8.590 Å, c = 8.590 Å
α = 81.51°, β = 67.40°, γ = 67.40°
Element x y z (fractional)
Ga (0.604, 0.069, 0.305)
Ga (0.750, 0.500, 0.500)
Ga (0.146, 0.431, 0.195)
Ga (0.659, 0.569, 0.195)
Ga (0.978, 0.695, 0.931)
Ga (0.091, 0.305, 0.931)
Ga (0.327, 0.695, 0.069)
Ga (0.000, 0.000, 0.000)
Ga (0.423, 0.431, 0.805)
Ga (0.146, 0.195, 0.431)
Ga (0.091, 0.931, 0.305)
Ga (0.327, 0.069, 0.695)
Ga (0.978, 0.931, 0.695)
Ga (0.604, 0.305, 0.069)
Ga (0.772, 0.569, 0.805)
Ga (0.772, 0.805, 0.569)
Ga (0.659, 0.195, 0.569)
Ga (0.423, 0.805, 0.431)
Tm (0.250, 0.500, 0.500)
Tm (0.500, 0.000, 0.000)
Ir (0.875, 0.250, 0.250)
Ir (0.375, 0.750, 0.750)
Ir (0.875, 0.250, 0.750)
Ir (0.875, 0.750, 0.250)

=====

(4)
Compound: TmGa2Ir2
Source: Alexandria via LeMat-Bulk
Functional: PBE
Structure: optimized geometry

a = 4.139 Å, b = 4.139 Å, c = 11.000 Å
α = 100.84°, β = 100.84°, γ = 90.00°
Element x y z (fractional)
Ir (0.931, 0.931, 0.862)
Ir (0.250, 0.750, 0.500)
Ir (0.750, 0.250, 0.500)
Ir (0.069, 0.069, 0.138)
Tm (0.362, 0.362, 0.725)
Tm (0.638, 0.638, 0.275)
Ga (0.000, 0.500, 0.000)
Ga (0.184, 0.184, 0.368)
Ga (0.816, 0.816, 0.632)
Ga (0.500, 0.000, 0.000)

=====

(5)
Compound: TmGa3Ir
Source: Alexandria via LeMat-Bulk
Functional: PBE
Structure: optimized geometry

a = 6.394 Å, b = 6.394 Å, c = 6.394 Å
α = 90.00°, β = 90.00°, γ = 90.00°
Element x y z (fractional)
Ga (0.500, 0.500, 0.500)
Ga (0.786, 0.214, 0.214)
Ga (0.214, 0.786, 0.786)
Ga (0.214, 0.214, 0.214)
Ga (0.786, 0.786, 0.214)
Ga (0.786, 0.214, 0.786)
Ga (0.214, 0.786, 0.214)
Ga (0.214, 0.214, 0.786)
Ga (0.786, 0.786, 0.786)
Ir (0.000, 0.000, 0.500)
Ir (0.000, 0.500, 0.000)
Ir (0.500, 0.000, 0.000)
Tm (0.500, 0.500, 0.000)
Tm (0.000, 0.500, 0.500)
Tm (0.500, 0.000, 0.500)

=====

(6)
Compound: TmGa3Ir2
Source: Alexandria via LeMat-Bulk
Functional: PBE
Structure: optimized geometry

a = 3.144 Å, b = 8.916 Å, c = 8.916 Å
α = 120.00°, β = 90.00°, γ = 90.00°
Element x y z (fractional)
Ga (0.052, 0.165, 0.331)
Ga (0.052, 0.669, 0.835)
Ga (0.052, 0.165, 0.835)
Ga (0.948, 0.331, 0.165)
Ga (0.948, 0.835, 0.165)
Ga (0.948, 0.835, 0.669)
Ir (0.000, 0.500, 0.000)
Ir (0.000, 0.500, 0.500)
Ir (0.000, 0.000, 0.000)
Ir (0.000, 0.000, 0.500)
Tm (0.462, 0.667, 0.333)
Tm (0.538, 0.333, 0.667)

=====

Across the entries above, final energy takes the values -0.2266 -0.2040 -0.1613 -0.2330 -0.1891 -0.2066 hartree per atom, respectively.
Across the entries above, energy relative to the elements takes the values -0.853 -0.779 -0.269 -0.690 -0.662 -0.409 eV per atom, respectively.